{
  "formula": "ZrTi2Ga",
  "functional": "PBE",
  "state": "optimized geometry",
  "cell": [[3.316, 0.000, 0.000], [0.000, 3.316, 0.000], [0.000, 0.000, 6.546]],
  "species": ["Zr", "Ti", "Ti", "Ga"],
  "fractional_positions": [[0.000, 0.000, 0.000], [0.500, 0.500, 0.275], [0.500, 0.500, 0.725], [0.000, 0.000, 0.500]],
  "vol_a3_per_fu": 72.0,
  "magmom_total_mub_per_cell": 0.0,
  "formation_energy_mev_per_atom": -194
}